# 1
DFT (PBE) results for crystalline HfNbTl2Ge at its relaxed geometry.

The structure belongs to space group P4/mmm (No. 123); the cell edges are 5.149, 5.149 and 4.956 Å and the angles 90.00°, 90.00° and 90.00°. The asymmetric unit holds Hf at (0.000, 0.000, 0.000), Nb at (0.500, 0.500, 0.000), Tl at (0.000, 0.500, 0.500) and Ge at (0.500, 0.500, 0.500).

As for the volume: 131.4 Å³/f.u. The calculation puts the formation energy at 1.101 eV per atom. Its density is 9.51 g/cm³. The calculation puts the total energy at -23.87 eV per cell.

***

# 2
DFT (PBE) results for crystalline SrMg6Cd3 at its relaxed geometry.

The structure belongs to space group P2_1/m (No. 11); the cell edges are 9.812, 4.421 and 12.438 Å and the angles 90.00°, 102.74° and 90.00°. The asymmetric unit holds Sr at (0.008, 0.250, 0.264), Mg at (0.099, 0.250, 0.976), Mg at (0.233, 0.750, 0.441), Mg at (0.239, 0.750, 0.165), Mg at (0.332, 0.750, 0.709), Mg at (0.425, 0.250, 0.082), Mg at (0.439, 0.250, 0.569), Cd at (0.117, 0.250, 0.567), Cd at (0.287, 0.750, 0.933) and Cd at (0.371, 0.250, 0.318).

As for the volume: 263.1 Å³/f.u. The calculation puts the formation energy at -0.035 eV per atom. Its density is 3.60 g/cm³. The calculation puts the total energy at -28.68 eV per cell.

***

# 3
DFT (PBE) results for crystalline CuC at its relaxed geometry.

The structure belongs to space group Fddd (No. 70, origin choice 2); the cell edges are 3.644, 8.600 and 12.173 Å and the angles 90.00°, 90.00° and 90.00°. The asymmetric unit holds Cu at (0.125, 0.125, 0.298) and C at (0.125, 0.050, 0.125).

As for the volume: 23.8 Å³/f.u. The calculation puts the formation energy at 0.746 eV per atom. As for the energy relative to the lowest polymorph listed for this composition: 0.525 eV/atom. Its density is 5.26 g/cm³. The calculation puts the total energy at -189.26 eV per cell.

***

# 4
DFT (PBE) results for crystalline NaAlRe2Tc at its relaxed geometry.

The structure belongs to space group P4/mmm (No. 123); the cell edges are 4.571, 4.571 and 4.421 Å and the angles 90.00°, 90.00° and 90.00°. The asymmetric unit holds Na at (0.000, 0.000, 0.000), Al at (0.000, 0.000, 0.500), Re at (0.000, 0.500, 0.500) and Tc at (0.500, 0.500, 0.000).

As for the volume: 92.4 Å³/f.u. The calculation puts the formation energy at 1.933 eV per atom. Its density is 9.36 g/cm³. The calculation puts the total energy at -30.66 eV per cell.

***

# 5
DFT (PBE) results for crystalline MgSc2Ni at its relaxed geometry.

The structure belongs to space group Imm2 (No. 44); the cell edges are 3.218, 4.834 and 10.090 Å and the angles 90.00°, 90.00° and 90.00°. The asymmetric unit holds Mg at (0.000, 0.000, 0.000), Sc at (0.000, 0.000, 0.405), Sc at (0.000, 0.500, 0.206) and Ni at (0.000, 0.500, 0.708).

As for the volume: 78.5 Å³/f.u. The calculation puts the formation energy at -0.174 eV per atom. Its density is 3.66 g/cm³. The calculation puts the total energy at -41.47 eV per cell.

***

# 6
DFT (PBE) results for crystalline KNa2Cd2Sn2 at its relaxed geometry.

The structure belongs to space group R-3m (No. 166, hexagonal axes); the cell edges are 4.9631, 4.9631 and 30.9942 Å and the angles 90.00°, 90.00° and 120.00°. The asymmetric unit holds K at (0.0000, 0.0000, 0.0000), Na at (0.0000, 0.0000, 0.1375), Cd at (0.0000, 0.0000, 0.2504) and Sn at (0.0000, 0.0000, 0.4197).

As for the volume: 220.4 Å³/f.u. The calculation puts the formation energy at -0.151 eV per atom. Its density is 4.12 g/cm³. The calculation puts the total energy at -43.89 eV per cell.

***

# 7
DFT (PBE) results for crystalline Na3SbN at its relaxed geometry.

The structure belongs to space group Pm-3m (No. 221); the cell edges are 5.933, 5.933 and 5.933 Å and the angles 90.00°, 90.00° and 90.00°. The asymmetric unit holds Na at (0.000, 0.000, 0.500), Sb at (0.000, 0.000, 0.000) and N at (0.500, 0.500, 0.500).

Its energy relative to the elements, uncorrected is 750 meV/atom. As for the volume: 208.9 Å³/f.u. As for the energy relative to the lowest polymorph listed for this composition: 0.406 eV/atom. Its density is 1.63 g/cm³. The calculation puts the total energy at -12.65 eV per cell.

***

# 8
DFT (PBE) results for crystalline ScBPd2Pt at its relaxed geometry.

The structure belongs to space group P4/mmm (No. 123); the cell edges are 4.253, 4.253 and 4.209 Å and the angles 90.00°, 90.00° and 90.00°. The asymmetric unit holds Sc at (0.000, 0.000, 0.000), B at (0.500, 0.500, 0.500), Pd at (0.000, 0.500, 0.500) and Pt at (0.500, 0.500, 0.000).

As for the volume: 76.1 Å³/f.u. The calculation puts the formation energy at -0.617 eV per atom. Its density is 10.11 g/cm³. The calculation puts the total energy at -32.52 eV per cell.